Density functional theory data (GGA-PBE) for ZrSn2Bi after structural relaxation.

```
4
Lattice="0.000 3.750 3.750 3.750 0.000 3.750 3.750 3.750 0.000" Properties=species:S:1:pos:R:3 pbc="T T T"
Zr 0.000 0.000 0.000
Sn 1.875 1.875 1.875
Sn 3.750 3.750 3.750
Bi 5.625 5.625 5.625
```

Output
The value obtained for the volume is 105.5 Å³ per cell. Its space group is F-43m, No. 216. The value obtained for the uncorrected energy is -5.011 eV/atom.

***

Density functional theory data (GGA-PBE) for YGeAu2 after structural relaxation.

```
4
Lattice="0.000 3.434 3.434 3.434 0.000 3.434 3.434 3.434 0.000" Properties=species:S:1:pos:R:3 pbc="T T T"
Y 0.000 0.000 0.000
Ge 5.151 5.151 5.151
Au 1.717 1.717 1.717
Au 3.434 3.434 3.434
```

Output
The value obtained for the volume is 81.0 Å³ per cell. Its space group is F-43m, No. 216. The value obtained for the uncorrected energy is -4.918 eV/atom.

***

Density functional theory data (GGA-PBE) for CdGeSO after structural relaxation.

```
8
Lattice="5.017 0.000 0.000 0.000 5.017 0.000 0.000 0.000 7.047" Properties=species:S:1:pos:R:3 pbc="T T T"
Cd 1.254 1.254 0.869
Cd 3.763 3.763 6.178
Ge 1.254 1.254 4.752
Ge 3.763 3.763 2.295
S 1.254 3.763 0.000
S 3.763 1.254 0.000
O 1.254 1.254 3.064
O 3.763 3.763 3.983
```

Output
The energy above the most stable polymorph in this dataset is 1.10 eV per formula unit. The value obtained for the volume is 177.4 Å³ per cell. Its space group is P4/nmm, No. 129.